Here is a geometry-optimized Li7Co5O12 structure from Alexandria. Energies are from GGA+U.

For the spin magnetization, the calculation gives 0.083 μB per atom. Its crystal system is monoclinic. As for the electronic total energy: -0.40865 Ry/atom.

The space group is C2/m (No. 12) and the conventional cell measures 4.928, 8.502 and 9.609 Å, with angles of 90.00, 99.64 and 90.00 degrees. The asymmetric unit holds Li at (0.000, 0.000, 0.000), Li at (0.247, 0.000, 0.750), Li at (0.249, 0.164, 0.251), Co at (0.000, 0.167, 0.500), Co at (0.000, 0.330, 0.000), Co at (0.000, 0.500, 0.500), O at (0.103, 0.500, 0.889), O at (0.131, 0.000, 0.390), O at (0.132, 0.333, 0.392) and O at (0.138, 0.182, 0.888).